The following is a DFT calculation (PBE) of a relaxed AgOs3 crystal.

a = 4.416 Å, b = 4.416 Å, c = 4.416 Å
α = 60.00°, β = 60.00°, γ = 60.00°
Each line ends with the local moment (μB).
Positions (direct):
1 Os 0.250 0.250 0.250  0.12
2 Os 0.500 0.500 0.500  0.59
3 Os 0.750 0.750 0.750  0.12
4 Ag 0.000 0.000 0.000  0.00

Summary:
The calculation puts the energy of formation from the pure elements at 22.75 kcal/mol of atoms.


The following is a DFT calculation (PBE) of a relaxed CdRu2Se crystal.

a = 3.041 Å, b = 4.858 Å, c = 4.558 Å
α = 90.00°, β = 90.00°, γ = 90.00°
Each line ends with the local moment (μB).
Positions (direct):
1 Se 0.500 0.000 0.500  0.06
2 Ru 0.000 0.000 0.000  0.56
3 Ru 0.500 0.500 0.000  0.97
4 Cd 0.000 0.500 0.500  0.00


The following is a DFT calculation (PBE) of a relaxed AlTlIn2 crystal.

a = 3.459 Å, b = 4.330 Å, c = 6.871 Å
α = 90.00°, β = 90.00°, γ = 90.00°
Positions (direct):
1 Al 0.500 0.500 0.772
2 In 0.000 0.000 0.980
3 In 0.500 0.500 0.237
4 Tl 0.000 0.000 0.511

Summary:
The calculation puts the energy of formation from the pure elements at 3.50 kcal/mol of atoms.


Values for excess energy over the best structure of this formula in the dataset, eV per formula unit, ordered as above
2.86; 1.77; 0.23